1.
Nb2ReGeC: relaxed, PBEsol.

abc: 4.0531 4.2502 4.2502
angles: 90.00 90.00 90.00
Last column: nearest neighbours and their distance in Å.
Positions (direct):
Ge: 0.5000 0.5000 0.5000  8 Nb 2.94, 4 Re 3.01
Re: 0.5000 0.0000 0.0000  2 C 2.03
Nb: 0.0000 0.0000 0.5000  2 C 2.13
Nb: 0.0000 0.5000 0.0000  2 C 2.13
C: 0.0000 0.0000 0.0000  2 Re 2.03, 4 Nb 2.13

Properties
**Formation energy**: 0.001 eV per atom
**Space-group type**: P4/mmm
**Mass density**: 10.36 g/cm3

=====

2.
Nd5Ge3C: relaxed, PBEsol.

abc: 6.6333 8.7508 8.7508
angles: 120.00 90.00 90.00
Last column: nearest neighbours and their distance in Å.
Positions (direct):
C: 0.5000 0.0000 0.0000  6 Nd 2.56
Nd: 0.7500 0.2231 0.2231  2 C 2.56
Ge: 0.2500 0.0000 0.5896  7 Nd 3.11-3.21
Ge: 0.2500 0.5896 0.0000  7 Nd 3.11-3.21
Nd: 0.2500 0.2231 0.0000  2 C 2.56
Nd: 0.5000 0.6667 0.3333  6 Ge 3.12, 2 Nd 3.32
Ge: 0.2500 0.4104 0.4104  7 Nd 3.11-3.21
Nd: 0.5000 0.3333 0.6667  6 Ge 3.12, 2 Nd 3.32
C: 0.0000 0.0000 0.0000  6 Nd 2.56
Ge: 0.7500 0.5896 0.5896  7 Nd 3.11-3.21
Ge: 0.7500 0.0000 0.4104  7 Nd 3.11-3.21
Nd: 0.7500 0.0000 0.7769  2 C 2.56
Nd: 0.2500 0.0000 0.2231  2 C 2.56
Nd: 0.2500 0.7769 0.7769  2 C 2.56
Nd: 0.0000 0.3333 0.6667  6 Ge 3.12, 2 Nd 3.32
Ge: 0.7500 0.4104 0.0000  7 Nd 3.11-3.21
Nd: 0.0000 0.6667 0.3333  6 Ge 3.12, 2 Nd 3.32
Nd: 0.7500 0.7769 0.0000  2 C 2.56

Properties
**Formation energy**: -0.621 eV per atom
**Space-group type**: P6_3/mcm
**Mass density**: 7.18 g/cm3

=====

3.
Ni2GeC: relaxed, PBEsol.

abc: 3.8704 3.8704 3.8704
angles: 60.00 60.00 60.00
Last column: nearest neighbours and their distance in Å.
Positions (direct):
Ni: 0.7500 0.7500 0.7500  4 Ge 2.37, 4 C 2.37
Ni: 0.2500 0.2500 0.2500  4 Ge 2.37, 4 C 2.37
Ge: 0.5000 0.5000 0.5000  8 Ni 2.37
C: 0.0000 0.0000 0.0000  8 Ni 2.37

Properties
**Formation energy**: 0.830 eV per atom
**Space-group type**: Fm-3m
**Mass density**: 8.18 g/cm3

=====

4.
GeCO3: relaxed, PBEsol.

abc: 3.3937 3.3937 3.3937
angles: 90.00 90.00 90.00
Last column: nearest neighbours and their distance in Å.
Positions (direct):
O: 0.0000 0.0000 0.5000  2 C 1.70
Ge: 0.5000 0.5000 0.5000  12 O 2.40
O: 0.5000 0.0000 0.0000  2 C 1.70
O: 0.0000 0.5000 0.0000  2 C 1.70
C: 0.0000 0.0000 0.0000  6 O 1.70

Properties
**Formation energy from raw total energies**: 1.5 eV per formula unit
**Space-group type**: Pm-3m
**Mass density**: 5.64 g/cm3

=====

5.
GeP2CO: relaxed, PBEsol.

abc: 3.3935 4.1052 4.1052
angles: 90.00 90.00 90.00
Last column: nearest neighbours and their distance in Å.
Positions (direct):
P: 0.0000 0.0000 0.5000  2 C 2.05
Ge: 0.5000 0.5000 0.5000  8 P 2.66, 4 O 2.90
C: 0.0000 0.0000 0.0000  2 O 1.70
P: 0.0000 0.5000 0.0000  2 C 2.05
O: 0.5000 0.0000 0.0000  2 C 1.70

Properties
**Formation energy from raw total energies**: 4.1 eV per formula unit
**Space-group type**: P4/mmm
**Mass density**: 4.72 g/cm3

=====

6.
GeW2CO: relaxed, PBEsol.

abc: 3.5564 4.1594 4.1594
angles: 90.00 90.00 90.00
Last column: nearest neighbours and their distance in Å.
Positions (direct):
O: 0.0000 0.0000 0.0000  2 C 1.78
C: 0.5000 0.0000 0.0000  2 O 1.78
Ge: 0.5000 0.5000 0.5000  8 W 2.74, 4 C 2.94
W: 0.0000 0.5000 0.0000  2 O 2.08
W: 0.0000 0.0000 0.5000  2 O 2.08

Properties
**Formation energy from raw total energies**: 5.7 eV per formula unit
**Space-group type**: P4/mmm
**Mass density**: 12.64 g/cm3

=====

7.
GeOs3C: relaxed, PBEsol.

abc: 4.4662 4.4662 4.4662
angles: 90.00 90.00 90.00
Last column: nearest neighbours and their distance in Å.
Positions (direct):
Os: 0.0000 0.0000 0.5000  2 Ge 2.23
Ge: 0.0000 0.0000 0.0000  6 Os 2.23
C: 0.5000 0.5000 0.5000  12 Os 3.16
Os: 0.0000 0.5000 0.0000  2 Ge 2.23
Os: 0.5000 0.0000 0.0000  2 Ge 2.23

Properties
**Formation energy**: 3.304 eV per atom
**Space-group type**: Pm-3m
**Mass density**: 12.22 g/cm3

=====

8.
GeP2C: relaxed, PBEsol.

abc: 4.1879 4.1879 4.1879
angles: 60.00 60.00 60.00
Last column: nearest neighbours and their distance in Å.
Positions (direct):
C: 0.0000 0.0000 0.0000  8 P 2.56
Ge: 0.5000 0.5000 0.5000  8 P 2.56
P: 0.2500 0.2500 0.2500  4 Ge 2.56, 4 C 2.56
P: 0.7500 0.7500 0.7500  4 Ge 2.56, 4 C 2.56

Properties
**Formation energy**: 1.515 eV per atom
**Space-group type**: Fm-3m
**Mass density**: 4.69 g/cm3